(1)
First-principles (GGA-PBE) data for crystalline BaSr3Os at its relaxed geometry, as listed in Alexandria via LeMat-Bulk.

Calculated values
Distance to the lowest polymorph of the same formula in eV/f.u.: 0.00
Total DFT energy (no corrections) in eV/atom: -3.248
E_form in eV per formula unit: 2.0

a = 6.028 Å, b = 6.028 Å, c = 6.028 Å
α = 90.00°, β = 90.00°, γ = 90.00°
Element x y z (fractional)
1 Sr 0.000 0.500 0.000
2 Sr 0.000 0.000 0.500
3 Sr 0.500 0.000 0.000
4 Os 0.000 0.000 0.000
5 Ba 0.500 0.500 0.500

---

(2)
First-principles (GGA-PBE) data for crystalline Mg2OsRu at its relaxed geometry, as listed in Alexandria via LeMat-Bulk.

Calculated values
Distance to the lowest polymorph of the same formula in eV/f.u.: 2.99
Total DFT energy (no corrections) in eV/atom: -5.170
E_form in eV per formula unit: 3.0

a = 7.175 Å, b = 7.175 Å, c = 5.703 Å
α = 51.02°, β = 51.02°, γ = 90.00°
Element x y z (fractional)
1 Ru 0.500 0.500 0.000
2 Ru 0.250 0.750 0.500
3 Mg 0.621 0.125 0.250
4 Mg 0.129 0.625 0.250
5 Mg 0.375 0.379 0.750
6 Mg 0.875 0.871 0.750
7 Os 0.000 0.000 0.000
8 Os 0.750 0.250 0.500

---

(3)
First-principles (GGA-PBE) data for crystalline Zr2Sc2S7 at its relaxed geometry, as listed in Alexandria via LeMat-Bulk.

Calculated values
Total DFT energy (no corrections) in eV/atom: -6.902
E_form (uncorrected) in eV/atom: -1.5702

a = 3.689 Å, b = 8.079 Å, c = 8.079 Å
α = 60.52°, β = 76.80°, γ = 76.80°
Element x y z (fractional)
1 Zr 0.741 0.846 0.672
2 Zr 0.259 0.328 0.154
3 Sc 0.000 0.790 0.210
4 Sc 0.500 0.320 0.680
5 S 0.818 0.071 0.294
6 S 0.857 0.431 0.855
7 S 0.500 0.014 0.986
8 S 0.609 0.492 0.290
9 S 0.391 0.710 0.508
10 S 0.182 0.706 0.929
11 S 0.143 0.145 0.569

---

total DFT energy (no corrections) of number 2 (Mg2OsRu)?
-5.170 eV/atom